LaIrIN2 after structural relaxation. Source: Alexandria, functional PBE.

Structure (POSCAR):
```
LaIrIN2
1.0
-2.049 -3.144 -1.869
3.633 -1.501 -1.458
0.536 -2.949 4.372
I N Ir La
1 2 1 1
Direct
0.000 0.000 0.500 I
0.000 0.500 0.000 N
0.500 0.000 0.000 N
0.000 0.000 0.000 Ir
0.500 0.500 0.500 La
```

Total energy: -5.79 eV per atom
Energy relative to the elements, uncorrected: 58 kJ per mole of atoms
Volume: 93.2 Å³/f.u.
D(E_F): 4.31 states/eV/cell
Space group: P4/mmm, No. 123
Spin magnetization: 0.00 μB/cell